The following is a PBE calculation of a geometry-optimized NiHgBi2Rh structure, from the Alexandria database.

Its formation energy from the elements is 55 kJ per mole of atoms. As for the total magnetization: 0.000 μB/atom.

It has space group P4/mmm (No. 123), with a = 4.9948 Å, b = 4.9948 Å, c = 4.8830 Å, α = 90.00°, β = 90.00° and γ = 90.00°. The distinct sites, in fractional coordinates, are Ni at (0.0000, 0.0000, 0.0000), Hg at (0.0000, 0.0000, 0.5000), Bi at (0.0000, 0.5000, 0.0000) and Rh at (0.5000, 0.5000, 0.5000).